A plane-wave DFT calculation with PBE+U was carried out for a geometry-optimized TaCoNO structure.

Lattice parameters (Å, degrees): 3.126 5.473 5.385 90.00 90.00 90.00
Space group Pmc2_1 (No. 26)
Symmetry-distinct sites (fractional):
Ta 0.000 0.146 0.000 x2
Co 0.500 0.298 0.383 x2
N 0.500 0.370 0.033 x2
O 0.000 0.199 0.625 x2

Raw total energy (eV/atom): -8.425